[1]
Entry from the Alexandria database: crystalline CaBi2SbAu at its relaxed geometry (PBE).

Raw formation energy ... 0.174 eV per atom
DOS(E_F) ... 4.8 states/eV/f.u.
Size of the total moment ... 0.000 Bohr magnetons per cell

a b c (Å): 5.9744 5.1211 5.9744
angles (deg): 90.00 90.00 90.00
Fractional positions:
Sb: 0.0000 0.0000 0.0000
Au: 0.0000 0.5000 0.0000
Bi: 0.5000 0.0000 0.0000
Ca: 0.5000 0.5000 0.5000
Bi: 0.0000 0.0000 0.5000


[2]
Entry from the Alexandria database: crystalline CaSi2BiAu5 at its relaxed geometry (PBE).

Raw formation energy ... -0.182 eV per atom
DOS(E_F) ... 4.5 states/eV/f.u.
Size of the total moment ... 0.000 Bohr magnetons per cell

a b c (Å): 4.5817 4.5817 10.3495
angles (deg): 90.00 90.00 90.00
Fractional positions:
Au: 0.0000 0.5000 0.1912
Au: 0.5000 0.0000 0.1912
Ca: 0.0000 0.0000 0.5000
Au: 0.5000 0.5000 0.5000
Si: 0.5000 0.5000 0.2713
Au: 0.0000 0.5000 0.8088
Bi: 0.0000 0.0000 0.0000
Si: 0.5000 0.5000 0.7287
Au: 0.5000 0.0000 0.8088


[3]
Entry from the Alexandria database: crystalline Ca2SiBiAu6 at its relaxed geometry (PBE).

Raw formation energy ... -0.343 eV per atom
DOS(E_F) ... 2.6 states/eV/f.u.
Size of the total moment ... 0.000 Bohr magnetons per cell

a b c (Å): 6.6183 6.6183 13.8859
angles (deg): 76.21 76.21 60.00
Fractional positions:
Au: 0.9158 0.3307 0.4227
Au: 0.0842 0.6693 0.5773
Au: 0.1927 0.1927 0.8668
Au: 0.2522 0.8073 0.1332
Bi: 0.5776 0.5776 0.2673
Au: 0.8073 0.2522 0.1332
Bi: 0.4224 0.4224 0.7327
Au: 0.1927 0.7478 0.8668
Ca: 0.8814 0.8814 0.3558
Ca: 0.7332 0.7332 0.8005
Au: 0.6693 0.6693 0.5773
Au: 0.6693 0.0842 0.5773
Au: 0.7478 0.1927 0.8668
Si: 0.0000 0.0000 0.0000
Si: 0.5000 0.5000 0.5000
Au: 0.3307 0.3307 0.4227
Au: 0.3307 0.9158 0.4227
Ca: 0.1186 0.1186 0.6442
Au: 0.8073 0.8073 0.1332
Ca: 0.2668 0.2668 0.1995


[4]
Entry from the Alexandria database: crystalline CaSnBiAu at its relaxed geometry (PBE).

Raw total energy ... -3.6545 eV per atom
DOS(E_F) ... 0.8 states/eV/f.u.
Size of the total moment ... 0.000 Bohr magnetons per cell

a b c (Å): 5.3564 5.3564 5.3564
angles (deg): 60.00 60.00 60.00
Fractional positions:
Bi: 0.0000 0.0000 0.0000
Au: 0.5000 0.5000 0.5000
Ca: 0.7500 0.7500 0.7500
Sn: 0.2500 0.2500 0.2500


[5]
Entry from the Alexandria database: crystalline CaThBiAu at its relaxed geometry (PBE).

Raw total energy ... -4.6725 eV per atom
DOS(E_F) ... 5.0 states/eV/f.u.
Size of the total moment ... 0.000 Bohr magnetons per cell

a b c (Å): 5.4113 5.4113 5.4113
angles (deg): 60.00 60.00 60.00
Fractional positions:
Th: 0.2500 0.2500 0.2500
Au: 0.0000 0.0000 0.0000
Ca: 0.7500 0.7500 0.7500
Bi: 0.5000 0.5000 0.5000


[6]
Entry from the Alexandria database: crystalline CaTlBiAu at its relaxed geometry (PBE).

Raw total energy ... -3.2258 eV per atom
DOS(E_F) ... 2.7 states/eV/f.u.
Size of the total moment ... 0.000 Bohr magnetons per cell

a b c (Å): 5.3454 5.3454 5.3454
angles (deg): 60.00 60.00 60.00
Fractional positions:
Ca: 0.2500 0.2500 0.2500
Bi: 0.7500 0.7500 0.7500
Au: 0.0000 0.0000 0.0000
Tl: 0.5000 0.5000 0.5000


[7]
Entry from the Alexandria database: crystalline CaTmBiAu at its relaxed geometry (PBE).

Raw total energy ... -4.0739 eV per atom
DOS(E_F) ... 2.9 states/eV/f.u.
Size of the total moment ... 0.000 Bohr magnetons per cell

a b c (Å): 5.2968 5.2968 5.2968
angles (deg): 60.00 60.00 60.00
Fractional positions:
Au: 0.2500 0.2500 0.2500
Bi: 0.7500 0.7500 0.7500
Tm: 0.5000 0.5000 0.5000
Ca: 0.0000 0.0000 0.0000


[8]
Entry from the Alexandria database: crystalline CaYBiAu at its relaxed geometry (PBE).

Raw total energy ... -4.6133 eV per atom
DOS(E_F) ... 3.1 states/eV/f.u.
Size of the total moment ... 0.000 Bohr magnetons per cell

a b c (Å): 5.3323 5.3323 5.3323
angles (deg): 60.00 60.00 60.00
Fractional positions:
Y: 0.7500 0.7500 0.7500
Ca: 0.2500 0.2500 0.2500
Au: 0.0000 0.0000 0.0000
Bi: 0.5000 0.5000 0.5000


[9]
Entry from the Alexandria database: crystalline CaYBi2Au at its relaxed geometry (PBE).

Raw total energy ... -3.7281 eV per atom
DOS(E_F) ... 2.4 states/eV/f.u.
Size of the total moment ... 0.000 Bohr magnetons per cell

a b c (Å): 5.6734 5.2817 5.6734
angles (deg): 90.00 90.00 90.00
Fractional positions:
Au: 0.0000 0.5000 0.0000
Y: 0.5000 0.5000 0.5000
Bi: 0.0000 0.0000 0.5000
Ca: 0.0000 0.0000 0.0000
Bi: 0.5000 0.0000 0.0000


[10]
Entry from the Alexandria database: crystalline Ca2Zn3BiAu12 at its relaxed geometry (PBE).

Raw total energy ... -3.0195 eV per atom
DOS(E_F) ... 5.7 states/eV/f.u.
Size of the total moment ... 0.000 Bohr magnetons per cell

a b c (Å): 10.3564 10.3564 10.3564
angles (deg): 39.75 39.75 39.75
Fractional positions:
Au: 0.8688 0.4427 0.8688
Au: 0.8117 0.4096 0.4096
Au: 0.5904 0.5904 0.1883
Au: 0.5573 0.1312 0.1312
Au: 0.1312 0.5573 0.1312
Au: 0.4096 0.4096 0.8117
Au: 0.8688 0.8688 0.4427
Zn: 0.0000 0.5000 0.0000
Bi: 0.0000 0.0000 0.0000
Au: 0.1883 0.5904 0.5904
Zn: 0.5000 0.0000 0.0000
Ca: 0.3624 0.3624 0.3624
Au: 0.1312 0.1312 0.5573
Ca: 0.6376 0.6376 0.6376
Zn: 0.0000 0.0000 0.5000
Au: 0.4427 0.8688 0.8688
Au: 0.5904 0.1883 0.5904
Au: 0.4096 0.8117 0.4096


[11]
Entry from the Alexandria database: crystalline CaZnBiAu2 at its relaxed geometry (PBE).

Raw total energy ... -2.2095 eV per atom
DOS(E_F) ... 5.2 states/eV/f.u.
Size of the total moment ... 0.000 Bohr magnetons per cell

a b c (Å): 5.3344 5.3055 5.3344
angles (deg): 90.00 90.00 90.00
Fractional positions:
Zn: 0.0000 0.5000 0.0000
Au: 0.5000 0.0000 0.0000
Ca: 0.0000 0.0000 0.0000
Bi: 0.5000 0.5000 0.5000
Au: 0.0000 0.0000 0.5000


[12]
Entry from the Alexandria database: crystalline Ca2ZnBiAu6 at its relaxed geometry (PBE).

Raw total energy ... -2.9911 eV per atom
DOS(E_F) ... 3.5 states/eV/f.u.
Size of the total moment ... 0.000 Bohr magnetons per cell

a b c (Å): 7.2650 7.2650 7.2650
angles (deg): 60.00 60.00 90.00
Fractional positions:
Au: 0.7361 0.2639 0.0000
Zn: 0.5000 0.5000 0.0000
Au: 0.7361 0.7361 0.5277
Au: 0.2639 0.7361 0.0000
Ca: 0.2500 0.7500 0.5000
Au: 0.2639 0.2639 0.4723
Au: 0.2639 0.2639 0.0000
Au: 0.7361 0.7361 0.0000
Ca: 0.7500 0.2500 0.5000
Bi: 0.0000 0.0000 0.0000


[13]
Entry from the Alexandria database: crystalline CaZr2BiAu at its relaxed geometry (PBE).

Raw total energy ... -5.1265 eV per atom
DOS(E_F) ... 4.6 states/eV/f.u.
Size of the total moment ... 0.000 Bohr magnetons per cell

a b c (Å): 5.2380 5.4704 5.2380
angles (deg): 90.00 90.00 90.00
Fractional positions:
Ca: 0.0000 0.5000 0.0000
Zr: 0.5000 0.0000 0.0000
Zr: 0.0000 0.0000 0.5000
Au: 0.0000 0.0000 0.0000
Bi: 0.5000 0.5000 0.5000


[14]
Entry from the Alexandria database: crystalline CdBiAu5 at its relaxed geometry (PBE).

Raw total energy ... -3.0625 eV per atom
DOS(E_F) ... 1.9 states/eV/f.u.
Size of the total moment ... 0.000 Bohr magnetons per cell

a b c (Å): 4.1277 4.1277 8.8062
angles (deg): 90.00 90.00 90.00
Fractional positions:
Bi: 0.0000 0.0000 0.5000
Au: 0.0000 0.5000 0.2465
Au: 0.0000 0.0000 0.0000
Au: 0.5000 0.0000 0.2465
Au: 0.5000 0.0000 0.7535
Cd: 0.5000 0.5000 0.0000
Au: 0.0000 0.5000 0.7535


[15]
Entry from the Alexandria database: crystalline CdBi2Au at its relaxed geometry (PBE).

Raw total energy ... -2.9156 eV per atom
DOS(E_F) ... 1.4 states/eV/f.u.
Size of the total moment ... 0.000 Bohr magnetons per cell

a b c (Å): 3.4751 3.4751 8.7334
angles (deg): 90.00 90.00 90.00
Fractional positions:
Bi: 0.0000 0.0000 0.7771
Bi: 0.0000 0.0000 0.2229
Cd: 0.5000 0.5000 0.5000
Au: 0.5000 0.5000 0.0000


[16]
Entry from the Alexandria database: crystalline Cd3BiAu at its relaxed geometry (PBE).

E above lowest polymorph ... 26 meV per atom
DOS(E_F) ... 1.9 states/eV/f.u.
Size of the total moment ... 0.000 Bohr magnetons per cell

a b c (Å): 7.2426 7.5060 9.9112
angles (deg): 113.78 90.00 90.00
Fractional positions:
Bi: 0.4431 0.3533 0.2356
Au: 0.8155 0.0696 0.4810
Cd: 0.5494 0.7814 0.4775
Cd: 0.4506 0.2186 0.5225
Bi: 0.0569 0.3533 0.7356
Cd: 0.0494 0.2186 0.0225
Bi: 0.9431 0.6467 0.2644
Cd: 0.3790 0.0963 0.7995
Cd: 0.8790 0.9037 0.7005
Cd: 0.6210 0.9037 0.2005
Cd: 0.6988 0.4235 0.9485
Cd: 0.1210 0.0963 0.2995
Au: 0.6845 0.0696 0.9810
Bi: 0.5569 0.6467 0.7644
Cd: 0.3012 0.5765 0.0515
Cd: 0.1988 0.5765 0.5515
Cd: 0.9506 0.7814 0.9775
Au: 0.3155 0.9304 0.0190
Au: 0.1845 0.9304 0.5190
Cd: 0.8012 0.4235 0.4485


[17]
Entry from the Alexandria database: crystalline Cd3BiAu at its relaxed geometry (PBE).

E above lowest polymorph ... 226 meV per atom
DOS(E_F) ... 2.9 states/eV/f.u.
Size of the total moment ... 0.000 Bohr magnetons per cell

a b c (Å): 5.2716 5.2716 5.2716
angles (deg): 90.00 90.00 90.00
Fractional positions:
Cd: 0.0000 0.5000 0.0000
Au: 0.0000 0.0000 0.0000
Cd: 0.5000 0.0000 0.0000
Bi: 0.5000 0.5000 0.5000
Cd: 0.0000 0.0000 0.5000


[18]
Entry from the Alexandria database: crystalline Cd4BiAu5 at its relaxed geometry (PBE).

Raw total energy ... -2.5144 eV per atom
DOS(E_F) ... 2.7 states/eV/f.u.
Size of the total moment ... 0.000 Bohr magnetons per cell

a b c (Å): 3.4754 3.4754 16.9967
angles (deg): 90.00 90.00 90.00
Fractional positions:
Au: 0.5000 0.5000 0.8789
Cd: 0.0000 0.0000 0.7868
Cd: 0.0000 0.0000 0.2132
Au: 0.5000 0.5000 0.3090
Bi: 0.0000 0.0000 0.0000
Au: 0.5000 0.5000 0.1211
Au: 0.5000 0.5000 0.6910
Cd: 0.0000 0.0000 0.4044
Au: 0.5000 0.5000 0.5000
Cd: 0.0000 0.0000 0.5956


[19]
Entry from the Alexandria database: crystalline Cd5BiAu4 at its relaxed geometry (PBE).

Raw total energy ... -2.2745 eV per atom
DOS(E_F) ... 3.4 states/eV/f.u.
Size of the total moment ... 0.000 Bohr magnetons per cell

a b c (Å): 4.8955 6.6581 7.5562
angles (deg): 90.46 108.90 90.00
Fractional positions:
Cd: 0.1769 0.5183 0.3537
Cd: 0.5000 0.5000 0.0000
Au: 0.6735 0.7510 0.3469
Cd: 0.8318 0.0022 0.6635
Au: 0.9900 0.7270 0.9801
Cd: 0.8231 0.4817 0.6463
Cd: 0.1682 0.9978 0.3365
Au: 0.0100 0.2730 0.0199
Au: 0.3265 0.2490 0.6531
Bi: 0.5000 0.0000 0.0000


[20]
Entry from the Alexandria database: crystalline CdBi2Au at its relaxed geometry (PBE).

Raw total energy ... -2.9673 eV per atom
DOS(E_F) ... 1.7 states/eV/f.u.
Size of the total moment ... 0.000 Bohr magnetons per cell

a b c (Å): 4.6267 4.6267 6.7916
angles (deg): 70.09 70.09 60.00
Fractional positions:
Bi: 0.2645 0.2645 0.2064
Au: 0.6637 0.6637 0.0090
Bi: 0.0714 0.0714 0.7858
Cd: 0.5004 0.5004 0.4988